This record from Alexandria describes a geometry-optimized Ba7Tl2Pd2 structure. The functional is PBE.

Cell and atoms, written as POSCAR:
```
Ba7Tl2Pd2
1.0
7.8458 -0.0032 -1.0463
0.0033 8.1481 0.0039
-1.5331 -0.0025 7.7654
Ba Tl Pd
7 2 2
direct
0.9998 0.2581 0.5003
0.5003 0.7419 0.9998
0.0002 0.7419 0.4997
0.4997 0.2581 0.0002
0.0000 0.0000 0.0000
0.5002 0.7528 0.4998
0.4998 0.2472 0.5002
0.8326 0.5000 0.8326
0.1674 0.5000 0.1674
0.7057 0.0000 0.2943
0.2943 0.0000 0.7057
```

Summary:
V: 483.4 Å³/cell
Energy relative to the elements: -0.318 eV/atom

This record from Alexandria describes a geometry-optimized Mg3CdIr2 structure. The functional is PBE.

Cell and atoms, written as POSCAR:
```
Mg3CdIr2
1.0
-2.5784 -0.6370 1.8792
1.1679 -2.9783 0.5928
4.7072 3.3579 7.5970
Mg Cd Ir
3 1 2
direct
0.0000 0.0000 0.0000
0.0000 0.0000 0.6989
0.0000 0.0000 0.3011
0.5000 0.5000 0.5000
0.5000 0.5000 0.8412
0.5000 0.5000 0.1588
```

Summary:
V: 101.1 Å³/cell
Energy relative to the elements: -0.263 eV/atom

This record from Alexandria describes a geometry-optimized BaTe3Pd structure. The functional is PBE.

Cell and atoms, written as POSCAR:
```
BaTe3Pd
1.0
-1.7272 1.6909 -4.8612
2.1433 -4.4256 -2.3009
-4.6794 -2.6512 0.7405
Te Ba Pd
3 1 1
direct
0.0000 0.5000 0.0000
0.0000 0.0000 0.5000
0.5000 0.0000 0.0000
0.5000 0.5000 0.5000
0.0000 0.0000 0.0000
```

Summary:
V: 160.0 Å³/cell
ΔE_f (raw): -3.42 eV per formula unit
Distance to the lowest polymorph of the same formula: 0 meV per atom

This record from Alexandria describes a geometry-optimized RbTb5Se8 structure. The functional is PBE.

Cell and atoms, written as POSCAR:
```
RbTb5Se8
1.0
-2.4813 3.1155 1.2439
-7.4518 -6.6269 1.7333
6.5551 -1.0347 8.6689
Rb Tb Se
1 5 8
direct
0.5001 0.4993 0.0003
0.2968 0.6592 0.5936
0.7033 0.3408 0.4065
0.3449 0.0509 0.6898
0.6551 0.9491 0.3101
0.0000 0.0001 0.0000
0.2287 0.1448 0.4575
0.7712 0.8553 0.5425
0.1687 0.4949 0.3373
0.8314 0.5052 0.6627
0.0796 0.8051 0.1591
0.9204 0.1951 0.8407
0.4215 0.8524 0.8429
0.5785 0.1479 0.1571
```

Summary:
V: 438.4 Å³/cell
ΔE_f (raw): -25.74 eV per formula unit

What is the formula in the fourth record? RbTb5Se8

Number 1 is which compound? Ba7Tl2Pd2

The lowest V belongs to which entry? Mg3CdIr2